Record 1
# Cu2IrOs

An optimized crystal structure of Cu2IrOs (PBE, Alexandria).

Total magnetization = 0.0 μB per formula unit
Energy relative to the elements = 0.193 eV per atom
E_tot = -6.88 eV per atom
Energy above the most stable polymorph in this dataset = 78 meV per atom

abc: 4.603 4.603 4.590
angles: 81.34 81.34 34.18
Element x y z (fractional)
Cu1 0.001 0.001 0.026
Cu2 0.250 0.250 0.223
Ir1 0.498 0.498 0.528
Os1 0.752 0.752 0.723

---

Record 2
# CuIrOs2

An optimized crystal structure of CuIrOs2 (PBE, Alexandria).

Total magnetization = 0.0 μB per formula unit
Energy relative to the elements = 0.440 eV per atom
E_tot = -8.41 eV per atom
Energy above the most stable polymorph in this dataset = 283 meV per atom

abc: 5.189 5.189 5.189
angles: 148.42 129.70 60.62
Element x y z (fractional)
Cu1 0.750 0.250 0.500
Ir1 0.250 0.750 0.500
Os1 0.981 0.981 0.000
Os2 0.519 0.519 0.000

---

Record 3
# Cu2IrOs

An optimized crystal structure of Cu2IrOs (PBE, Alexandria).

Total magnetization = 0.0 μB per formula unit
Energy relative to the elements = 0.225 eV per atom
E_tot = -6.85 eV per atom
Energy above the most stable polymorph in this dataset = 110 meV per atom

abc: 4.574 4.574 4.669
angles: 80.36 80.36 33.97
Element x y z (fractional)
Cu1 0.001 0.001 0.998
Cu2 0.499 0.499 0.502
Ir1 0.250 0.250 0.250
Os1 0.750 0.750 0.750

---

Record 4
# CuIrOs2

An optimized crystal structure of CuIrOs2 (PBE, Alexandria).

Total magnetization = 0.0 μB per formula unit
Energy relative to the elements = 0.199 eV per atom
E_tot = -8.65 eV per atom
Energy above the most stable polymorph in this dataset = 43 meV per atom

abc: 8.940 8.940 8.940
angles: 17.44 17.44 17.44
Element x y z (fractional)
Cu1 0.250 0.250 0.250
Ir1 0.750 0.750 0.750
Os1 0.999 0.999 0.999
Os2 0.501 0.501 0.501

---

Record 5
# CuIrOs2

An optimized crystal structure of CuIrOs2 (PBE, Alexandria).

Total magnetization = 0.0 μB per formula unit
Energy relative to the elements = 0.275 eV per atom
E_tot = -8.58 eV per atom
Energy above the most stable polymorph in this dataset = 119 meV per atom

abc: 2.726 3.874 5.269
angles: 90.00 90.00 90.00
Element x y z (fractional)
Cu1 0.500 0.500 0.250
Ir1 0.500 0.500 0.750
Os1 0.000 0.000 0.010
Os2 0.000 0.000 0.490

---

Record 6
# CuIrOs2

An optimized crystal structure of CuIrOs2 (PBE, Alexandria).

Total magnetization = 0.8 μB per formula unit
Energy relative to the elements = 0.485 eV per atom
E_tot = -8.37 eV per atom
Energy above the most stable polymorph in this dataset = 329 meV per atom

abc: 2.683 2.683 9.150
angles: 90.00 90.00 118.92
Each line ends with the local moment (μB).
Element x y z (fractional)
Cu1 0.000 0.000 0.500  0.01
Ir1 0.500 0.500 0.745  0.16
Os1 0.000 0.000 0.002  0.36
Os2 0.500 0.500 0.253  0.26

---

Record 7
# CuIrOs2

An optimized crystal structure of CuIrOs2 (PBE, Alexandria).

Total magnetization = 0.0 μB per formula unit
Energy relative to the elements = 0.221 eV per atom
E_tot = -8.63 eV per atom
Energy above the most stable polymorph in this dataset = 65 meV per atom

abc: 4.679 4.679 4.684
angles: 80.88 80.88 33.62
Element x y z (fractional)
Cu1 0.502 0.502 0.493
Ir1 0.256 0.256 0.264
Os1 0.998 0.998 0.982
Os2 0.745 0.745 0.762

---

Record 8
# Cu2IrOs

An optimized crystal structure of Cu2IrOs (PBE, Alexandria).

Total magnetization = 0.0 μB per formula unit
Energy relative to the elements = 0.410 eV per atom
E_tot = -6.66 eV per atom
Energy above the most stable polymorph in this dataset = 295 meV per atom

abc: 4.678 4.678 2.642
angles: 90.00 90.00 111.63
Element x y z (fractional)
Cu1 0.000 0.000 0.000
Cu2 0.500 0.500 0.000
Ir1 0.500 0.000 0.500
Os1 0.000 0.500 0.500

---

Record 9
# CuIrOs2

An optimized crystal structure of CuIrOs2 (PBE, Alexandria).

Total magnetization = 0.0 μB per formula unit
Energy relative to the elements = 0.525 eV per atom
E_tot = -8.33 eV per atom
Energy above the most stable polymorph in this dataset = 368 meV per atom

abc: 2.757 4.512 4.584
angles: 90.00 90.00 90.00
Element x y z (fractional)
Cu1 0.500 0.000 0.500
Ir1 0.000 0.500 0.500
Os1 0.000 0.000 0.000
Os2 0.500 0.500 0.000

---

Record 10
# CuIrOs2

An optimized crystal structure of CuIrOs2 (PBE, Alexandria).

Total magnetization = 0.0 μB per formula unit
Energy relative to the elements = 0.446 eV per atom
E_tot = -8.41 eV per atom
Energy above the most stable polymorph in this dataset = 290 meV per atom

abc: 3.923 3.781 3.781
angles: 90.00 90.00 90.00
Element x y z (fractional)
Cu1 0.500 0.500 0.000
Ir1 0.500 0.000 0.500
Os1 0.000 0.000 0.000
Os2 0.000 0.500 0.500

---

Record 11
# Cu2IrOs

An optimized crystal structure of Cu2IrOs (PBE, Alexandria).

Total magnetization = 0.0 μB per formula unit
Energy relative to the elements = 0.150 eV per atom
E_tot = -6.92 eV per atom
Energy above the most stable polymorph in this dataset = 35 meV per atom

abc: 3.786 2.710 5.930
angles: 62.91 90.00 90.00
Element x y z (fractional)
Cu1 0.000 0.983 0.017
Cu2 0.500 0.268 0.232
Ir1 0.000 0.481 0.518
Os1 0.500 0.768 0.733

---

Record 12
# Cu2IrOs

An optimized crystal structure of Cu2IrOs (PBE, Alexandria).

Total magnetization = 0.0 μB per formula unit
Energy relative to the elements = 0.346 eV per atom
E_tot = -6.72 eV per atom
Energy above the most stable polymorph in this dataset = 231 meV per atom

abc: 2.661 2.661 8.913
angles: 90.00 90.00 118.83
Element x y z (fractional)
Cu1 0.000 0.000 0.008
Cu2 0.500 0.500 0.242
Ir1 0.000 0.000 0.496
Os1 0.500 0.500 0.754

---

Record 13
# VCuIrOs

An optimized crystal structure of VCuIrOs (PBE, Alexandria).

Total magnetization = 0.0 μB per formula unit
Energy relative to the elements = -0.070 eV per atom
E_tot = -8.40 eV per atom

abc: 4.244 4.244 4.244
angles: 60.00 60.00 60.00
Element x y z (fractional)
Ir1 0.750 0.750 0.750
Os1 0.250 0.250 0.250
Cu1 0.000 0.000 0.000
V1 0.500 0.500 0.500

---

Record 14
# Cu2PIr

An optimized crystal structure of Cu2PIr (PBE, Alexandria).

Total magnetization = 0.0 μB per formula unit
Energy relative to the elements = 0.284 eV per atom
E_tot = -5.33 eV per atom

abc: 2.679 2.679 7.478
angles: 90.00 90.00 90.00
Element x y z (fractional)
Cu1 0.000 0.000 0.995
Cu2 0.000 0.000 0.505
Ir1 0.500 0.500 0.250
P1 0.500 0.500 0.750

---

Record 15
# CuPIr2

An optimized crystal structure of CuPIr2 (PBE, Alexandria).

Total magnetization = 0.0 μB per formula unit
Energy relative to the elements = -0.021 eV per atom
E_tot = -6.83 eV per atom

abc: 3.787 2.899 5.246
angles: 73.97 90.00 90.00
Element x y z (fractional)
Cu1 0.500 0.698 0.729
Ir1 0.000 0.076 0.972
Ir2 0.500 0.428 0.270
P1 0.000 0.298 0.529

---

Record 16
# Cu2P2Ir

An optimized crystal structure of Cu2P2Ir (PBE, Alexandria).

Total magnetization = 0.0 μB per formula unit
Energy relative to the elements = -0.151 eV per atom
E_tot = -5.73 eV per atom

abc: 5.919 5.919 4.219
angles: 90.00 90.00 90.00
Element x y z (fractional)
P1 0.371 0.871 0.000
P2 0.871 0.629 0.000
P3 0.629 0.129 0.000
P4 0.129 0.371 0.000
Ir1 0.000 0.000 0.000
Ir2 0.500 0.500 0.000
Cu1 0.265 0.765 0.500
Cu2 0.765 0.735 0.500
Cu3 0.735 0.235 0.500
Cu4 0.235 0.265 0.500

---

Record 17
# CuPIr2

An optimized crystal structure of CuPIr2 (PBE, Alexandria).

Total magnetization = 0.0 μB per formula unit
Energy relative to the elements = 0.014 eV per atom
E_tot = -6.79 eV per atom

abc: 5.692 5.692 5.692
angles: 151.29 140.30 49.72
Element x y z (fractional)
Cu1 0.298 0.798 0.500
Ir1 0.968 0.968 0.000
Ir2 0.706 0.206 0.500
P1 0.529 0.529 0.000

---

Record 18
# CuPIr2

An optimized crystal structure of CuPIr2 (PBE, Alexandria).

Total magnetization = 0.2 μB per formula unit
Energy relative to the elements = 0.160 eV per atom
E_tot = -6.65 eV per atom

abc: 2.893 2.893 6.526
angles: 90.00 90.00 90.00
Each line ends with the local moment (μB).
Element x y z (fractional)
Cu1 0.500 0.500 0.732  0.01
Ir1 0.000 0.000 0.987  0.17
Ir2 0.500 0.500 0.285  0.07
P1 0.000 0.000 0.495  0.00

---

Record 19
# Cu2PIr

An optimized crystal structure of Cu2PIr (PBE, Alexandria).

Total magnetization = 0.0 μB per formula unit
Energy relative to the elements = 0.050 eV per atom
E_tot = -5.57 eV per atom

abc: 7.920 7.920 7.920
angles: 20.54 20.54 20.54
Element x y z (fractional)
Cu1 0.004 0.004 0.004
Cu2 0.253 0.253 0.253
Ir1 0.492 0.492 0.492
P1 0.751 0.751 0.751

---

Record 20
# Cu2PIr

An optimized crystal structure of Cu2PIr (PBE, Alexandria).

Total magnetization = 0.0 μB per formula unit
Energy relative to the elements = 0.226 eV per atom
E_tot = -5.39 eV per atom

abc: 2.729 2.729 8.377
angles: 90.00 90.00 119.41
Element x y z (fractional)
Cu1 0.000 0.000 0.998
Cu2 0.500 0.500 0.243
Ir1 0.000 0.000 0.512
P1 0.500 0.500 0.747